## AsRhCl2 (PBE)

Data for a relaxed AsRhCl2 crystal.

Lattice parameters (Å, degrees): 8.9318 8.9318 8.9318 152.26 152.26 39.63
Last column: nearest neighbours and their distance in Å.
Fractional positions:
As (0.0000, 0.0000, 0.0000)  4 Cl 2.62
As (0.7500, 0.2500, 0.5000)  4 Cl 2.62
Rh (0.2500, 0.7500, 0.5000)  4 Cl 2.56
Rh (0.5000, 0.5000, 0.0000)  4 Cl 2.56
Cl (0.1393, 0.6250, 0.0143)  2 Rh 2.56, 2 As 2.62
Cl (0.3750, 0.3893, 0.5143)  2 Rh 2.56, 2 As 2.62
Cl (0.6107, 0.1250, 0.9857)  2 Rh 2.56, 2 As 2.62
Cl (0.8750, 0.8607, 0.4857)  2 Rh 2.56, 2 As 2.62

For the final energy, the calculation gives -0.2659 Ry/atom. Its crystal system is tetragonal. The value obtained for the relative energy among the computed polymorphs is 905 meV per atom. As for the symmetry: I-42d.